A plane-wave DFT calculation with PBE was carried out for a geometry-optimized NaFe2NiGe structure.

a = 4.561 Å, b = 4.561 Å, c = 4.461 Å
α = 90.00°, β = 90.00°, γ = 90.00°
Space group P4/mmm (No. 123)
One atom of each set of equivalent atoms:
Na 0.000 0.000 0.000
Fe 0.000 0.500 0.500
Ni 0.500 0.500 0.000
Ge 0.500 0.500 0.500

Computed properties:
As for the total energy: -0.3689 Ry/atom. For the volume, the calculation gives 92.80 Å³/f.u. The calculation puts the energy of formation from the pure elements at 0.709 eV/atom. The total magnetic moment comes out at 5.5 μB per cell.